AgHg2MoAs: optimized geometry, PBE-GGA.

E_form, eV per atom: 1.27
Calculated total energy, eV per atom: -2.514
SG: P4/mmm (123)

Lattice parameters (Å, degrees): 5.132 5.132 5.381 90.00 90.00 90.00
Sites, in units of the cell vectors:
Ag: 0.000 0.000 0.000
Hg: 0.000 0.500 0.000
Hg: 0.500 0.000 0.000
Mo: 0.000 0.000 0.500
As: 0.500 0.500 0.500

***

SrMnTl2: optimized geometry, PBE-GGA.

E_form, eV per atom: 0.06
Calculated total energy, eV per atom: -3.834
SG: P4/mmm (123)

Lattice parameters (Å, degrees): 3.703 3.703 7.754 90.00 90.00 90.00
Sites, in units of the cell vectors:
Sr: 0.000 0.000 0.000
Mn: 0.000 0.000 0.500
Tl: 0.500 0.500 0.295
Tl: 0.500 0.500 0.705

***

Cs2NaHg: optimized geometry, PBE-GGA.

E_form, eV per atom: -0.02
Calculated total energy, eV per atom: -0.850
SG: I-42d (122)
Energy above the most stable polymorph in this dataset, meV/atom: 98

Lattice parameters (Å, degrees): 8.861 8.861 8.861 102.88 102.88 123.66
Sites, in units of the cell vectors:
Cs: 0.086 0.625 0.961
Cs: 0.375 0.336 0.461
Cs: 0.664 0.125 0.039
Cs: 0.875 0.914 0.539
Na: 0.250 0.750 0.500
Na: 0.500 0.500 0.000
Hg: 0.000 0.000 0.000
Hg: 0.750 0.250 0.500

***

CoRuCl3: optimized geometry, PBE-GGA.

Formation energy without anion corrections, kJ/mol of atoms: 21.0
Calculated total energy, eV per atom: -4.167
SG: P4mm (99)
Energy above the most stable polymorph in this dataset, meV/atom: 466

Lattice parameters (Å, degrees): 4.793 4.793 4.957 90.00 90.00 90.00
Sites, in units of the cell vectors:
Co: 0.000 0.000 0.000
Ru: 0.500 0.500 0.843
Cl: 0.000 0.500 0.921
Cl: 0.500 0.000 0.921
Cl: 0.500 0.500 0.363

***

Rb2TlReCl: optimized geometry, PBE-GGA.

Formation energy without anion corrections, kJ/mol of atoms: 57.2
Calculated total energy, eV per atom: -3.126
SG: P4/mmm (123)

Lattice parameters (Å, degrees): 6.929 6.929 5.293 90.00 90.00 90.00
Sites, in units of the cell vectors:
Rb: 0.000 0.500 0.000
Rb: 0.500 0.000 0.000
Tl: 0.000 0.000 0.000
Re: 0.000 0.000 0.500
Cl: 0.500 0.500 0.500

***

Zn2Cd2GaAu5: optimized geometry, PBE-GGA.

E_form, eV per atom: -0.13
Calculated total energy, eV per atom: -2.505
SG: P4/mbm (127)

Lattice parameters (Å, degrees): 10.404 10.404 3.468 90.00 90.00 90.00
Sites, in units of the cell vectors:
Zn: 0.136 0.364 0.000
Zn: 0.364 0.864 0.000
Zn: 0.636 0.136 0.000
Zn: 0.864 0.636 0.000
Cd: 0.157 0.657 0.000
Cd: 0.343 0.157 0.000
Cd: 0.657 0.843 0.000
Cd: 0.843 0.343 0.000
Ga: 0.000 0.000 0.000
Ga: 0.500 0.500 0.000
Au: 0.000 0.500 0.500
Au: 0.115 0.168 0.500
Au: 0.168 0.885 0.500
Au: 0.332 0.385 0.500
Au: 0.385 0.668 0.500
Au: 0.500 0.000 0.500
Au: 0.615 0.332 0.500
Au: 0.668 0.615 0.500
Au: 0.832 0.115 0.500
Au: 0.885 0.832 0.500

***

Ca2ZnI: optimized geometry, PBE-GGA.

Formation energy without anion corrections, kJ/mol of atoms: -59.9
Calculated total energy, eV per atom: -2.327
SG: R-3m (166)
Energy above the most stable polymorph in this dataset, meV/atom: 0

Lattice parameters (Å, degrees): 8.746 8.746 8.746 27.73 27.73 27.73
Sites, in units of the cell vectors:
Ca: 0.239 0.239 0.239
Ca: 0.761 0.761 0.761
Zn: 0.500 0.500 0.500
I: 0.000 0.000 0.000

***

CaRh2W: optimized geometry, PBE-GGA.

E_form, eV per atom: 0.10
Calculated total energy, eV per atom: -7.316
SG: C2/m (12)
Energy above the most stable polymorph in this dataset, meV/atom: 248

Lattice parameters (Å, degrees): 3.905 3.905 7.168 93.84 93.84 43.26
Sites, in units of the cell vectors:
Ca: 0.000 0.000 0.000
Rh: 0.251 0.251 0.707
Rh: 0.749 0.749 0.293
W: 0.500 0.500 0.500